(1)
The following is a DFT calculation (PBE) of a geometry-optimized RbY3Ir structure.

Unit cell a=5.1844 b=5.1844 c=5.1844 alpha=90.00 beta=90.00 gamma=90.00
Closest atoms and distances in Å follow each position.
Positions (direct):
Rb 0.0000 0.0000 0.0000  6 Y 2.59
Y 0.0000 0.0000 0.5000  2 Rb 2.59
Y 0.0000 0.5000 0.0000  2 Rb 2.59
Y 0.5000 0.0000 0.0000  2 Rb 2.59
Ir 0.5000 0.5000 0.5000  12 Y 3.67

Values from the calculation:
DFT total energy   -4.12 eV per atom
Formation enthalpy at 0 K   165.9 kJ per mole of atoms
Mass density   6.487 g cm⁻³
N(E_F)   4.33 states/eV per cell

***

(2)
The following is a DFT calculation (PBE) of a geometry-optimized YTe2O structure.

Unit cell a=7.6844 b=7.6844 c=7.6844 alpha=34.80 beta=34.80 gamma=34.80
Closest atoms and distances in Å follow each position.
Positions (direct):
Y 0.0000 0.0000 0.0000  6 Te 3.08
Te 0.4061 0.4061 0.4061  1 O 2.03
Te 0.5939 0.5939 0.5939  1 O 2.03
O 0.5000 0.5000 0.5000  2 Te 2.03

Values from the calculation:
DFT total energy   -5.14 eV per atom
Mass density   4.533 g cm⁻³
N(E_F)   2.37 states/eV per cell
Energy relative to the elements, uncorrected   -0.715 eV/atom

***

(3)
The following is a DFT calculation (PBE) of a geometry-optimized CeZr2Se structure.

Unit cell a=10.1810 b=10.1810 c=10.1810 alpha=18.68 beta=18.68 gamma=18.68
Closest atoms and distances in Å follow each position.
Positions (direct):
Ce 0.0000 0.0000 0.0000  2 Zr 3.02, 6 Ce 3.30
Zr 0.1006 0.1006 0.1006  3 Se 2.75, 1 Ce 3.02
Zr 0.8994 0.8994 0.8994  3 Se 2.75, 1 Ce 3.02
Se 0.5000 0.5000 0.5000  6 Zr 2.75

Values from the calculation:
DFT total energy   -6.86 eV per atom
Mass density   7.051 g cm⁻³
N(E_F)   5.34 states/eV per cell
Energy relative to the elements, uncorrected   -0.229 eV/atom

***

(4)
The following is a DFT calculation (PBE) of a geometry-optimized K4CrCu structure.

Unit cell a=7.3419 b=7.3419 c=7.3419 alpha=60.00 beta=60.00 gamma=60.00
Closest atoms and distances in Å follow each position.
Positions (direct):
K 0.1253 0.1253 0.1253  6 K 3.66-3.68
K 0.1253 0.1253 0.6241  6 K 3.66-3.68
K 0.1253 0.6241 0.1253  6 K 3.66-3.68
K 0.6241 0.1253 0.1253  6 K 3.66-3.68
Cr 0.7500 0.7500 0.7500  12 K 4.31, 4 Cu 4.50
Cu 0.5000 0.5000 0.5000  12 K 4.30, 4 Cr 4.50

Values from the calculation:
DFT total energy   -2.12 eV per atom
Formation enthalpy at 0 K   86.9 kJ per mole of atoms
Mass density   1.614 g cm⁻³
N(E_F)   2.57 states/eV per cell

***

(5)
The following is a DFT calculation (PBE) of a geometry-optimized SmScZnPd structure.

Unit cell a=3.4727 b=3.4727 c=6.9281 alpha=90.00 beta=90.00 gamma=90.00
Closest atoms and distances in Å follow each position.
Positions (direct):
Sm 0.0000 0.0000 0.0000  4 Pd 3.15, 4 Zn 3.16, 2 Sc 3.42-3.51, 4 Sm 3.47
Sc 0.0000 0.0000 0.5068  4 Pd 2.85, 4 Zn 2.89
Zn 0.5000 0.5000 0.2869  4 Sc 2.89, 1 Pd 2.97, 4 Sm 3.16
Pd 0.5000 0.5000 0.7158  4 Sc 2.85, 1 Zn 2.97, 4 Sm 3.15

Values from the calculation:
DFT total energy   -4.96 eV per atom
Formation enthalpy at 0 K   -56.4 kJ per mole of atoms
Mass density   7.297 g cm⁻³
N(E_F)   3.41 states/eV per cell

***

(6)
The following is a DFT calculation (PBE) of a geometry-optimized ScCrAu2 structure.

Unit cell a=9.8825 b=9.8825 c=9.8825 alpha=156.04 beta=156.04 gamma=34.14
Closest atoms and distances in Å follow each position.
Positions (direct):
Sc 0.0000 0.0000 0.0000  4 Au 2.79, 4 Cr 2.90
Sc 0.7500 0.2500 0.5000  4 Au 2.79, 4 Cr 2.90
Cr 0.2500 0.7500 0.5000  4 Au 2.75, 4 Sc 2.90
Cr 0.5000 0.5000 0.0000  4 Au 2.75, 4 Sc 2.90
Au 0.1370 0.6250 0.0120  2 Cr 2.75, 2 Sc 2.79, 4 Au 2.83-2.97
Au 0.3750 0.3870 0.5120  2 Cr 2.75, 2 Sc 2.79, 4 Au 2.83-2.97
Au 0.6130 0.1250 0.9880  2 Cr 2.75, 2 Sc 2.79, 4 Au 2.83-2.97
Au 0.8750 0.8630 0.4880  2 Cr 2.75, 2 Sc 2.79, 4 Au 2.83-2.97

Values from the calculation:
DFT total energy   -5.49 eV per atom
Formation enthalpy at 0 K   12.8 kJ per mole of atoms
Mass density   10.255 g cm⁻³
N(E_F)   4.37 states/eV per cell

***

(7)
The following is a DFT calculation (PBE) of a geometry-optimized LiSc4Os structure.

Unit cell a=5.5688 b=5.5688 c=5.5688 alpha=60.00 beta=60.00 gamma=60.00
Closest atoms and distances in Å follow each position.
Positions (direct):
Li 0.0000 0.0000 0.0000  12 Sc 3.27, 4 Os 3.41
Sc 0.3779 0.3779 0.3779  6 Sc 2.72-2.85
Sc 0.3779 0.3779 0.8664  6 Sc 2.72-2.85
Sc 0.3779 0.8664 0.3779  6 Sc 2.72-2.85
Sc 0.8664 0.3779 0.3779  6 Sc 2.72-2.85
Os 0.7500 0.7500 0.7500  12 Sc 3.26, 4 Li 3.41

Values from the calculation:
DFT total energy   -5.82 eV per atom
Formation enthalpy at 0 K   57.2 kJ per mole of atoms
Mass density   5.126 g cm⁻³
N(E_F)   7.88 states/eV per cell

***

(8)
The following is a DFT calculation (PBE) of a geometry-optimized Ce3Ga9Tc2 structure.

Unit cell a=8.1932 b=8.1932 c=8.1932 alpha=148.96 beta=109.77 gamma=78.75
Closest atoms and distances in Å follow each position.
Positions (direct):
Ce 0.0000 0.0000 0.0000  12 Ga 3.12-3.21
Ce 0.3052 0.3052 0.0000  2 Tc 2.98, 10 Ga 3.12-3.30
Ce 0.6948 0.6948 0.0000  2 Tc 2.98, 10 Ga 3.12-3.30
Ga 0.0167 0.6544 0.3623  4 Ga 2.60-2.83, 1 Tc 2.62
Ga 0.1514 0.8699 0.2814  4 Ga 2.60-2.83, 2 Tc 2.77
Ga 0.2922 0.6544 0.6377  4 Ga 2.60-2.83, 1 Tc 2.62
Ga 0.4115 0.1301 0.2814  4 Ga 2.60-2.83, 2 Tc 2.77
Ga 0.5000 0.0000 0.5000  4 Ga 2.64, 4 Tc 2.76
Ga 0.5885 0.8699 0.7186  4 Ga 2.60-2.83, 2 Tc 2.77
Ga 0.7078 0.3456 0.3623  4 Ga 2.60-2.83, 1 Tc 2.62
Ga 0.8486 0.1301 0.7186  4 Ga 2.60-2.83, 2 Tc 2.77
Ga 0.9833 0.3456 0.6377  4 Ga 2.60-2.83, 1 Tc 2.62
Tc 0.3226 0.5000 0.8226  8 Ga 2.62-2.77
Tc 0.6774 0.5000 0.1774  8 Ga 2.62-2.77

Values from the calculation:
DFT total energy   -5.18 eV per atom
Formation enthalpy at 0 K   -46.2 kJ per mole of atoms
Mass density   7.891 g cm⁻³
N(E_F)   11.36 states/eV per cell

***

(9)
The following is a DFT calculation (PBE) of a geometry-optimized GaP3S structure.

Unit cell a=4.6659 b=4.6659 c=4.6659 alpha=90.00 beta=90.00 gamma=90.00
Closest atoms and distances in Å follow each position.
Positions (direct):
Ga 0.0000 0.0000 0.0000  6 P 2.33
P 0.0000 0.0000 0.5000  2 Ga 2.33
P 0.0000 0.5000 0.0000  2 Ga 2.33
P 0.5000 0.0000 0.0000  2 Ga 2.33
S 0.5000 0.5000 0.5000  12 P 3.30

Values from the calculation:
DFT total energy   -3.45 eV per atom
Mass density   3.183 g cm⁻³
N(E_F)   5.68 states/eV per cell
Energy relative to the elements, uncorrected   1.229 eV/atom

***

(10)
The following is a DFT calculation (PBE) of a geometry-optimized Ce3YSb4 structure.

Unit cell a=6.3288 b=6.3288 c=6.3288 alpha=90.00 beta=90.00 gamma=90.00
Closest atoms and distances in Å follow each position.
Positions (direct):
Ce 0.0000 0.0000 0.5000  6 Sb 3.16
Ce 0.0000 0.5000 0.0000  6 Sb 3.16
Ce 0.5000 0.0000 0.0000  6 Sb 3.16
Y 0.5000 0.5000 0.5000  6 Sb 3.16
Sb 0.0000 0.0000 0.0000  6 Ce 3.16
Sb 0.0000 0.5000 0.5000  4 Ce 3.16, 2 Y 3.16
Sb 0.5000 0.0000 0.5000  4 Ce 3.16, 2 Y 3.16
Sb 0.5000 0.5000 0.0000  4 Ce 3.16, 2 Y 3.16

Values from the calculation:
DFT total energy   -6.16 eV per atom
Mass density   6.526 g cm⁻³
N(E_F)   18.56 states/eV per cell
Energy relative to the elements, uncorrected   -1.067 eV/atom